(1)
PBE with a Hubbard U CsVSO6, relaxed; total magnetization = 0.66 μB per cell; space group = Pbca, No. 61; DFT total energy = -463.75 eV/cell; Fermi-level density of states = 0.00 states/eV per atom
1.0
-3.066 4.410 -3.975
-8.651 -6.556 -0.600
-7.002 7.941 14.213
Cs V S O
8 8 8 48
Cartesian
-9.344 3.391 2.539
-5.055 5.688 7.394
-9.906 -4.622 -0.286
-13.135 7.132 9.630
-9.376 2.403 7.100
-13.665 0.107 2.245
-8.814 10.416 9.924
-5.585 -1.337 0.008
-5.279 2.706 1.405
-7.612 4.203 10.483
-9.580 -0.609 1.152
-14.970 5.288 6.237
-13.442 3.088 8.234
-11.108 1.591 -0.844
-9.141 6.403 8.486
-3.750 0.507 3.401
-8.824 6.281 5.291
-5.604 2.839 4.604
-13.755 3.212 11.430
-9.258 -0.745 -2.047
-9.896 -0.487 4.348
-13.116 2.955 5.035
-4.966 2.582 -1.791
-9.462 6.539 11.686
-7.694 6.257 4.383
-6.739 2.870 5.506
-13.556 4.244 12.430
-9.451 -1.783 -3.041
-11.027 -0.463 5.256
-11.981 2.924 4.133
-5.164 1.550 -2.791
-9.269 7.577 12.679
-9.867 5.303 5.013
-4.559 3.815 4.884
-14.997 2.460 11.549
-8.018 0.011 -2.169
-8.853 0.492 4.625
-14.162 1.979 4.755
-3.724 3.335 -1.910
-10.702 5.783 11.807
-4.845 1.048 2.039
-9.579 8.067 7.861
-11.000 0.301 0.450
-12.016 2.172 8.927
-13.875 4.746 7.600
-9.141 -2.273 1.778
-7.721 5.493 9.188
-6.704 3.622 0.711
-8.289 6.077 6.723
-5.008 1.417 4.638
-13.682 3.877 10.040
-10.461 0.217 -2.123
-10.431 -0.283 2.916
-13.712 4.377 5.001
-5.038 1.918 -0.401
-8.260 5.577 11.761
-9.426 7.701 5.262
-6.131 3.044 3.169
-12.555 2.246 11.500
-9.328 -1.401 -0.654
-9.294 -1.906 4.376
-12.589 2.751 6.469
-6.165 3.549 -1.861
-9.392 7.196 10.292
-3.988 3.682 1.493
-8.902 3.227 10.395
-8.291 0.370 1.243
-16.259 4.310 6.146
-14.732 2.112 8.146
-9.818 2.568 -0.757
-10.429 5.425 8.396
-2.461 1.484 3.493

---

(2)
PBE with a Hubbard U CsVSO2, relaxed; total magnetization = 4.14 μB per cell; space group = P4/mmm, No. 123; DFT total energy = -17.85 eV/cell; Fermi-level density of states = 0.26 states/eV per atom
1.0
-3.727 1.700 -0.589
-0.841 -3.415 -4.535
-1.694 -2.859 2.467
Cs S O V
1 1 2 1
Cartesian
-0.420 -1.707 -2.268
0.000 0.000 0.000
-0.847 -1.429 1.233
-1.863 0.850 -0.295
-3.131 -2.287 -1.329